LiW2CO | GGA+U | relaxed

a b c (Å): 4.2136 4.2136 4.0890
angles (deg): 90.00 90.00 90.00
Atoms (fractional coordinates):
1 Li 0.0000 0.0000 0.0000
2 W 0.0000 0.5000 0.5000
3 W 0.5000 0.0000 0.5000
4 C 0.5000 0.5000 0.5000
5 O 0.5000 0.5000 0.0000

Properties
As for the raw total energy: -4.88 eV per atom. As for the theoretical density: 9.21 g/cm³. As for the crystal system: tetragonal.